(1)
Entry from OQMD: a relaxed structure of DyEr6Ni2S2 (PBE).

extended XYZ file:
```
11
Lattice="3.9207 -7.3113 -3.0885 -0.4871 1.1031 8.7699 -2.9638 -2.3188 -8.0128" Properties=species:S:1:pos:R:3 pbc="T T T"
S -0.2878 -3.2072 2.7574
S 0.0454 -0.0821 0.0752
Er 0.4996 -3.3944 -3.1730
Er 0.8531 -6.9514 -7.2734
Er 1.0215 -2.7931 0.1713
Er -1.8686 -1.4149 -1.5696
Er -2.1715 -2.8055 -5.1827
Er 1.7939 -6.1277 -1.6627
Ni 2.8209 -6.9978 1.6210
Ni -0.6026 -4.6907 -1.0592
Dy 2.2952 -4.1500 3.7978
```

Computed properties:
E = -60.8 eV/f.u.
Volume = 22.7 A^3/atom
Space-group type = No. 44


(2)
Entry from OQMD: a relaxed structure of Dy4Er3Ni2S2 (PBE).

extended XYZ file:
```
11
Lattice="-5.0440 -5.6405 4.6686 5.1345 5.7214 4.4671 -7.2259 -2.6122 -4.4739" Properties=species:S:1:pos:R:3 pbc="T T T"
Dy -5.5434 -1.4722 -0.6666
Dy -7.5723 -5.0878 2.5412
Dy -1.6065 -1.0722 3.8595
Dy -4.6496 -3.1220 2.4948
Ni -3.9658 -0.4044 2.3680
Ni 1.9206 3.5548 2.2746
Er -9.9947 -6.7213 0.6922
Er -2.2646 -1.5220 0.5695
Er -1.0306 1.5681 1.5156
S 0.0836 0.0747 8.4329
S -6.1340 -4.1255 0.1929
```

Computed properties:
E = -60.8 eV/f.u.
Volume = 23.0 A^3/atom
Space-group type = No. 44


(3)
Entry from OQMD: a relaxed structure of Dy3Y2Er2Ni2S2 (PBE).

extended XYZ file:
```
11
Lattice="-1.8790 7.4093 4.5671 1.8790 -7.4093 4.5671 1.8790 7.4093 -4.5671" Properties=species:S:1:pos:R:3 pbc="T T T"
Y 1.8790 -1.9929 2.1685
Y 1.8790 1.9929 2.1685
S 0.0000 0.0000 1.3427
S 0.0000 7.4093 2.1559
Er 0.0000 4.6741 0.9102
Er 0.0000 10.1444 0.9102
Dy 0.0000 0.0000 4.4832
Dy 1.8790 -5.6427 3.5924
Dy 1.8790 5.6427 3.5924
Ni 0.0000 3.5707 3.7067
Ni 1.8790 3.8386 -0.8604
```

Computed properties:
E = -64.7 eV/f.u.
Volume = 23.1 A^3/atom
Space-group type = No. 44


(4)
Entry from OQMD: a relaxed structure of Dy2YEr4Ni2S2 (PBE).

extended XYZ file:
```
11
Lattice="0.3415 -8.3314 -3.1060 4.7169 2.0294 7.2669 -7.2895 -2.3029 -4.5537" Properties=species:S:1:pos:R:3 pbc="T T T"
Er -1.6745 -3.9596 -1.9868
Er -4.2674 -7.9282 -4.8453
Er -1.0100 -3.0565 1.3242
Er 0.8453 -0.2168 3.3696
Dy 3.3481 1.4223 5.9078
Dy -1.9341 -6.6623 0.0845
S 0.7578 -0.9441 0.6233
S -2.2850 -6.7985 -2.8518
Ni 0.3788 -5.0861 -0.1535
Ni -3.5868 -2.3017 -1.0429
Y 2.4856 -3.0967 2.0446
```

Computed properties:
E = -62.8 eV/f.u.
Volume = 23.0 A^3/atom
Space-group type = No. 44


(5)
Entry from OQMD: a relaxed structure of Dy3Er2Tm2Ni2Se2 (PBE).

extended XYZ file:
```
11
Lattice="8.6678 -2.4833 0.4426 -1.9298 8.8169 0.1761 1.0819 -8.2696 3.4548" Properties=species:S:1:pos:R:3 pbc="T T T"
Dy 7.8644 -5.0587 2.5989
Dy 5.4244 -2.3676 1.6235
Dy 0.7654 1.3916 1.9247
Tm 4.1660 1.1303 0.8024
Tm 2.5207 -4.1315 3.1670
Er 8.3521 -8.3893 3.2148
Er 2.2026 -1.6070 0.7565
Ni -1.0224 4.4309 1.0491
Ni 3.5983 -0.6652 2.8962
Se 6.2021 5.8299 0.5695
Se 4.9628 -5.2938 1.9568
```

Computed properties:
E = -59.0 eV/f.u.
Volume = 23.9 A^3/atom
Space-group type = No. 44


(6)
Entry from OQMD: a relaxed structure of DyEr2Tm4Ni2Se2 (PBE).

extended XYZ file:
```
11
Lattice="8.0256 -3.1600 2.4683 -2.4042 8.1415 2.9027 0.2765 -8.9669 0.0897" Properties=species:S:1:pos:R:3 pbc="T T T"
Er 2.9546 -3.5470 1.1224
Er 6.0026 -7.9992 2.0616
Tm 2.5250 -0.2170 1.7355
Tm 0.7097 -6.1284 1.1807
Tm 5.3245 -2.2778 3.1576
Tm -0.3611 -2.5358 1.4102
Ni 2.5331 -2.3246 3.5264
Ni 6.2130 0.8632 4.6557
Dy 3.8076 3.3741 3.6380
Se 0.0978 0.0867 0.0935
Se 1.2788 1.6632 3.7345
```

Computed properties:
E = -58.7 eV/f.u.
Volume = 23.6 A^3/atom
Space-group type = No. 44